A plane-wave DFT calculation with PBE was carried out for CaPb2Cl after structural relaxation.

Results
**Energy relative to the elements, uncorrected**: -0.268 eV/atom
**Excess energy over the best structure of this formula in the dataset**: 57.3 kJ/mol of atoms
**Raw total energy**: -3.084 eV per atom
**Density**: 6.64 Mg/m³

```
data_CaPb2Cl
_chemical_formula_sum 'Ca2 Pb4 Cl2'
_symmetry_space_group_name_H-M 'C m m m'
_symmetry_Int_Tables_number 65
_symmetry_space_group_name_Hall '-C 2 2'
_cell_length_a 4.2343
_cell_length_b 5.8431
_cell_length_c 9.9068
_cell_angle_alpha 90.00
_cell_angle_beta 90.00
_cell_angle_gamma 90.00
loop_
_atom_site_label
_atom_site_type_symbol
_atom_site_fract_x
_atom_site_fract_y
_atom_site_fract_z
Ca1 Ca 0.0000 0.0000 0.0000
Pb1 Pb 0.0000 0.5000 0.2699
Cl1 Cl 0.0000 0.0000 0.5000
```


A plane-wave DFT calculation with PBE was carried out for RbCa2PbCl8 after structural relaxation.

Results
**Energy relative to the elements, uncorrected**: -1.743 eV/atom
**Raw total energy**: -3.697 eV per atom
**Density**: 2.85 Mg/m³

```
data_RbCa2PbCl8
_chemical_formula_sum 'Rb1 Ca2 Pb1 Cl8'
_symmetry_space_group_name_H-M 'P 1 2/m 1'
_symmetry_Int_Tables_number 10
_cell_length_a 6.5092
_cell_length_b 8.7701
_cell_length_c 6.7093
_cell_angle_alpha 90.00
_cell_angle_beta 90.68
_cell_angle_gamma 90.00
loop_
_symmetry_equiv_pos_as_xyz
'x,y,z'
'-x,-y,-z'
'-x,y,-z'
'x,-y,z'
loop_
_atom_site_label
_atom_site_type_symbol
_atom_site_fract_x
_atom_site_fract_y
_atom_site_fract_z
Rb1 Rb 0.0000 0.0000 0.0000
Ca1 Ca 0.5000 0.2468 0.5000
Pb1 Pb 0.0000 0.5000 0.0000
Cl1 Cl 0.2509 0.2834 0.1654
Cl2 Cl 0.2660 0.5000 0.6620
Cl3 Cl 0.2812 0.0000 0.6256
```


A plane-wave DFT calculation with PBE was carried out for RbCaPbCl6 after structural relaxation.

Results
**Energy relative to the elements, uncorrected**: -1.605 eV/atom
**Raw total energy**: -3.578 eV per atom
**Density**: 2.81 Mg/m³

```
data_RbCaPbCl6
_chemical_formula_sum 'Rb2 Ca2 Pb2 Cl12'
_symmetry_space_group_name_H-M 'P -3 1 c'
_symmetry_Int_Tables_number 163
_symmetry_space_group_name_Hall '-P 3 2c'
_cell_length_a 7.2007
_cell_length_b 7.2007
_cell_length_c 14.3496
_cell_angle_alpha 90.00
_cell_angle_beta 90.00
_cell_angle_gamma 120.00
loop_
_atom_site_label
_atom_site_type_symbol
_atom_site_fract_x
_atom_site_fract_y
_atom_site_fract_z
Rb1 Rb 0.0000 0.0000 0.0000
Ca1 Ca 0.3333 0.6667 0.2500
Pb1 Pb 0.3333 0.6667 0.7500
Cl1 Cl 0.0010 0.3762 0.6405
```


A plane-wave DFT calculation with PBE was carried out for Rb3CaPb2Cl9 after structural relaxation.

Results
**Energy relative to the elements, uncorrected**: -1.717 eV/atom
**Raw total energy**: -3.646 eV per atom
**Density**: 3.21 Mg/m³

```
data_Rb3CaPb2Cl9
_chemical_formula_sum 'Rb3 Ca1 Pb2 Cl9'
_symmetry_space_group_name_H-M 'P -3 m 1'
_symmetry_Int_Tables_number 164
_symmetry_space_group_name_Hall '-P 3 2"'
_cell_length_a 7.9044
_cell_length_b 7.9044
_cell_length_c 9.8472
_cell_angle_alpha 90.00
_cell_angle_beta 90.00
_cell_angle_gamma 120.00
loop_
_atom_site_label
_atom_site_type_symbol
_atom_site_fract_x
_atom_site_fract_y
_atom_site_fract_z
Rb1 Rb 0.0000 0.0000 0.0000
Rb2 Rb 0.3333 0.6667 0.6340
Ca1 Ca 0.0000 0.0000 0.5000
Pb1 Pb 0.3333 0.6667 0.1696
Cl1 Cl 0.0000 0.5000 0.0000
Cl2 Cl 0.1638 0.3276 0.3438
```


A plane-wave DFT calculation with PBE was carried out for CaPbSCl2 after structural relaxation.

Results
**Energy relative to the elements, uncorrected**: -0.821 eV/atom
**Excess energy over the best structure of this formula in the dataset**: 35.1 kJ/mol of atoms
**Raw total energy**: -3.527 eV per atom
**Density**: 3.97 Mg/m³

```
data_CaPbSCl2
_chemical_formula_sum 'Ca1 Pb1 S1 Cl2'
_symmetry_space_group_name_H-M 'P 4/m m m'
_symmetry_Int_Tables_number 123
_symmetry_space_group_name_Hall '-P 4 2'
_cell_length_a 5.2031
_cell_length_b 5.2031
_cell_length_c 5.4109
_cell_angle_alpha 90.00
_cell_angle_beta 90.00
_cell_angle_gamma 90.00
loop_
_atom_site_label
_atom_site_type_symbol
_atom_site_fract_x
_atom_site_fract_y
_atom_site_fract_z
Ca1 Ca 0.0000 0.0000 0.0000
Pb1 Pb 0.5000 0.5000 0.5000
S1 S 0.5000 0.5000 0.0000
Cl1 Cl 0.0000 0.5000 0.5000
```


A plane-wave DFT calculation with PBE was carried out for CaPbSCl2 after structural relaxation.

Results
**Energy relative to the elements, uncorrected**: -1.184 eV/atom
**Excess energy over the best structure of this formula in the dataset**: 0.0 kJ/mol of atoms
**Raw total energy**: -3.890 eV per atom
**Density**: 3.66 Mg/m³

```
data_CaPbSCl2
_chemical_formula_sum 'Ca1 Pb1 S1 Cl2'
_symmetry_space_group_name_H-M 'P 4/m m m'
_symmetry_Int_Tables_number 123
_symmetry_space_group_name_Hall '-P 4 2'
_cell_length_a 5.2059
_cell_length_b 5.2059
_cell_length_c 5.8609
_cell_angle_alpha 90.00
_cell_angle_beta 90.00
_cell_angle_gamma 90.00
loop_
_atom_site_label
_atom_site_type_symbol
_atom_site_fract_x
_atom_site_fract_y
_atom_site_fract_z
Ca1 Ca 0.0000 0.0000 0.0000
Pb1 Pb 0.5000 0.5000 0.5000
S1 S 0.0000 0.0000 0.5000
Cl1 Cl 0.0000 0.5000 0.0000
```


- Which value of density does entry 5 give?
  3.97 Mg/m³


- Which formula does entry 2 have?
  RbCa2PbCl8


What did the first record say?
A plane-wave DFT calculation with PBE was carried out for CaPb2Cl after structural relaxation.

Results
**Energy relative to the elements, uncorrected**: -0.268 eV/atom
**Excess energy over the best structure of this formula in the dataset**: 57.3 kJ/mol of atoms
**Raw total energy**: -3.084 eV per atom
**Density**: 6.64 Mg/m³

```
data_CaPb2Cl
_chemical_formula_sum 'Ca2 Pb4 Cl2'
_symmetry_space_group_name_H-M 'C m m m'
_symmetry_Int_Tables_number 65
_symmetry_space_group_name_Hall '-C 2 2'
_cell_length_a 4.2343
_cell_length_b 5.8431
_cell_length_c 9.9068
_cell_angle_alpha 90.00
_cell_angle_beta 90.00
_cell_angle_gamma 90.00
loop_
_atom_site_label
_atom_site_type_symbol
_atom_site_fract_x
_atom_site_fract_y
_atom_site_fract_z
Ca1 Ca 0.0000 0.0000 0.0000
Pb1 Pb 0.0000 0.5000 0.2699
Cl1 Cl 0.0000 0.0000 0.5000
```


What did the first record say?
A plane-wave DFT calculation with PBE was carried out for CaPb2Cl after structural relaxation.

Results
**Energy relative to the elements, uncorrected**: -0.268 eV/atom
**Excess energy over the best structure of this formula in the dataset**: 57.3 kJ/mol of atoms
**Raw total energy**: -3.084 eV per atom
**Density**: 6.64 Mg/m³

```
data_CaPb2Cl
_chemical_formula_sum 'Ca2 Pb4 Cl2'
_symmetry_space_group_name_H-M 'C m m m'
_symmetry_Int_Tables_number 65
_symmetry_space_group_name_Hall '-C 2 2'
_cell_length_a 4.2343
_cell_length_b 5.8431
_cell_length_c 9.9068
_cell_angle_alpha 90.00
_cell_angle_beta 90.00
_cell_angle_gamma 90.00
loop_
_atom_site_label
_atom_site_type_symbol
_atom_site_fract_x
_atom_site_fract_y
_atom_site_fract_z
Ca1 Ca 0.0000 0.0000 0.0000
Pb1 Pb 0.0000 0.5000 0.2699
Cl1 Cl 0.0000 0.0000 0.5000
```